La2Bi4O9 | PBE | relaxed

Values from the calculation:
Relative energy among the computed polymorphs = 0.0 meV/atom
V = 258 Å³ per cell
Formation energy (no corrections) = -1.97 eV/atom
Uncorrected energy = -6.632 eV/atom

Structure (CIF):
```
data_La2Bi4O9
_chemical_formula_sum 'La2 Bi4 O9'
_symmetry_space_group_name_H-M 'P 1'
_symmetry_Int_Tables_number 1
_cell_length_a 4.054
_cell_length_b 6.980
_cell_length_c 9.421
_cell_angle_alpha 97.72
_cell_angle_beta 102.39
_cell_angle_gamma 90.01
loop_
_symmetry_equiv_pos_as_xyz
'x,y,z'
loop_
_atom_site_label
_atom_site_type_symbol
_atom_site_fract_x
_atom_site_fract_y
_atom_site_fract_z
La1 La 0.490 0.493 0.013
La2 La 0.977 0.993 0.986
Bi1 Bi 0.816 0.586 0.670
Bi2 Bi 0.645 0.900 0.329
Bi3 Bi 0.340 0.115 0.655
Bi4 Bi 0.185 0.370 0.344
O1 O 0.596 0.562 0.299
O2 O 0.534 0.855 0.094
O3 O 0.940 0.631 0.905
O4 O 0.796 0.924 0.700
O5 O 0.669 0.243 0.499
O6 O 0.129 0.035 0.286
O7 O 0.433 0.152 0.893
O8 O 0.039 0.334 0.106
O9 O 0.343 0.451 0.713
```

=====

La2BiO6 | PBE | relaxed

Values from the calculation:
V = 133 Å³ per cell
Formation energy (no corrections) = -2.13 eV/atom
Uncorrected energy = -6.965 eV/atom

Structure (CIF):
```
data_La2BiO6
_chemical_formula_sum 'La2 Bi1 O6'
_symmetry_space_group_name_H-M 'P 1'
_symmetry_Int_Tables_number 1
_cell_length_a 3.990
_cell_length_b 5.722
_cell_length_c 6.803
_cell_angle_alpha 114.87
_cell_angle_beta 106.95
_cell_angle_gamma 90.00
loop_
_symmetry_equiv_pos_as_xyz
'x,y,z'
loop_
_atom_site_label
_atom_site_type_symbol
_atom_site_fract_x
_atom_site_fract_y
_atom_site_fract_z
La1 La 0.668 0.667 0.334
La2 La 0.332 0.333 0.666
Bi1 Bi 0.000 0.000 0.000
O1 O 0.153 0.390 0.306
O2 O 0.847 0.084 0.694
O3 O 0.847 0.610 0.694
O4 O 0.500 0.220 0.000
O5 O 0.153 0.916 0.306
O6 O 0.500 0.780 0.000
```

=====

La2Bi2O7 | PBE | relaxed

Values from the calculation:
V = 357 Å³ per cell
Formation energy (no corrections) = -2.15 eV/atom
Uncorrected energy = -6.911 eV/atom

Structure (CIF):
```
data_La2Bi2O7
_chemical_formula_sum 'La4 Bi4 O14'
_symmetry_space_group_name_H-M 'P 1'
_symmetry_Int_Tables_number 1
_cell_length_a 7.960
_cell_length_b 7.960
_cell_length_c 7.960
_cell_angle_alpha 60.00
_cell_angle_beta 60.00
_cell_angle_gamma 60.00
loop_
_symmetry_equiv_pos_as_xyz
'x,y,z'
loop_
_atom_site_label
_atom_site_type_symbol
_atom_site_fract_x
_atom_site_fract_y
_atom_site_fract_z
La1 La 0.625 0.125 0.125
La2 La 0.125 0.125 0.125
La3 La 0.125 0.625 0.125
La4 La 0.125 0.125 0.625
Bi1 Bi 0.625 0.625 0.125
Bi2 Bi 0.625 0.625 0.625
Bi3 Bi 0.625 0.125 0.625
Bi4 Bi 0.125 0.625 0.625
O1 O 0.718 0.282 0.282
O2 O 0.718 0.718 0.282
O3 O 0.282 0.718 0.282
O4 O 0.000 0.000 0.000
O5 O 0.718 0.282 0.718
O6 O 0.968 0.532 0.532
O7 O 0.282 0.718 0.718
O8 O 0.532 0.968 0.532
O9 O 0.250 0.250 0.250
O10 O 0.968 0.532 0.968
O11 O 0.532 0.532 0.968
O12 O 0.968 0.968 0.532
O13 O 0.532 0.968 0.968
O14 O 0.282 0.282 0.718
```

=====

La2Bi4O9 | PBE | relaxed

Values from the calculation:
Relative energy among the computed polymorphs = 27.5 meV/atom
V = 520 Å³ per cell
Formation energy (no corrections) = -1.94 eV/atom
Uncorrected energy = -6.605 eV/atom

Structure (CIF):
```
data_La2Bi4O9
_chemical_formula_sum 'La4 Bi8 O18'
_symmetry_space_group_name_H-M 'P 1'
_symmetry_Int_Tables_number 1
_cell_length_a 6.251
_cell_length_b 6.248
_cell_length_c 15.417
_cell_angle_alpha 90.02
_cell_angle_beta 90.02
_cell_angle_gamma 59.77
loop_
_symmetry_equiv_pos_as_xyz
'x,y,z'
loop_
_atom_site_label
_atom_site_type_symbol
_atom_site_fract_x
_atom_site_fract_y
_atom_site_fract_z
La1 La 0.000 0.999 0.363
La2 La 0.001 0.000 0.137
La3 La 0.000 0.001 0.637
La4 La 0.999 0.000 0.863
Bi1 Bi 0.334 0.332 0.978
Bi2 Bi 0.332 0.333 0.478
Bi3 Bi 0.666 0.668 0.022
Bi4 Bi 0.333 0.335 0.193
Bi5 Bi 0.668 0.667 0.522
Bi6 Bi 0.665 0.667 0.307
Bi7 Bi 0.335 0.333 0.693
Bi8 Bi 0.667 0.665 0.807
O1 O 0.998 0.285 0.750
O2 O 0.286 0.714 0.750
O3 O 0.715 0.002 0.750
O4 O 0.002 0.715 0.250
O5 O 0.714 0.286 0.250
O6 O 0.285 0.998 0.250
O7 O 0.690 0.922 0.422
O8 O 0.924 0.385 0.423
O9 O 0.390 0.690 0.421
O10 O 0.615 0.076 0.077
O11 O 0.310 0.611 0.079
O12 O 0.079 0.310 0.078
O13 O 0.310 0.078 0.578
O14 O 0.076 0.615 0.577
O15 O 0.610 0.310 0.579
O16 O 0.385 0.924 0.923
O17 O 0.690 0.389 0.921
O18 O 0.921 0.690 0.922
```

=====

La3BiO2 | PBE | relaxed

Values from the calculation:
V = 144 Å³ per cell
Formation energy (no corrections) = -2.21 eV/atom
Uncorrected energy = -6.976 eV/atom

Structure (CIF):
```
data_La3BiO2
_chemical_formula_sum 'La3 Bi1 O2'
_symmetry_space_group_name_H-M 'P 1'
_symmetry_Int_Tables_number 1
_cell_length_a 4.852
_cell_length_b 4.852
_cell_length_c 7.030
_cell_angle_alpha 110.19
_cell_angle_beta 110.19
_cell_angle_gamma 90.00
loop_
_symmetry_equiv_pos_as_xyz
'x,y,z'
loop_
_atom_site_label
_atom_site_type_symbol
_atom_site_fract_x
_atom_site_fract_y
_atom_site_fract_z
La1 La 0.750 0.250 0.500
La2 La 0.500 0.500 0.000
La3 La 0.250 0.750 0.500
Bi1 Bi 0.000 0.000 0.000
O1 O 0.699 0.699 0.399
O2 O 0.301 0.301 0.601
```

=====

La2Bi2O | PBE | relaxed

Values from the calculation:
Relative energy among the computed polymorphs = 210.5 meV/atom
V = 275 Å³ per cell
Formation energy (no corrections) = -1.34 eV/atom
Uncorrected energy = -5.852 eV/atom

Structure (CIF):
```
data_La2Bi2O
_chemical_formula_sum 'La4 Bi4 O2'
_symmetry_space_group_name_H-M 'P 1'
_symmetry_Int_Tables_number 1
_cell_length_a 6.853
_cell_length_b 6.853
_cell_length_c 5.860
_cell_angle_alpha 90.00
_cell_angle_beta 90.00
_cell_angle_gamma 90.00
loop_
_symmetry_equiv_pos_as_xyz
'x,y,z'
loop_
_atom_site_label
_atom_site_type_symbol
_atom_site_fract_x
_atom_site_fract_y
_atom_site_fract_z
Bi1 Bi 0.165 0.665 0.500
Bi2 Bi 0.665 0.835 0.500
Bi3 Bi 0.835 0.335 0.500
Bi4 Bi 0.335 0.165 0.500
O1 O 0.000 0.000 0.000
O2 O 0.500 0.500 0.000
La1 La 0.317 0.817 0.000
La2 La 0.817 0.683 0.000
La3 La 0.683 0.183 0.000
La4 La 0.183 0.317 0.000
```

=====

La3BiO | PBE | relaxed

Values from the calculation:
Relative energy among the computed polymorphs = 0.0 meV/atom
V = 131 Å³ per cell
Formation energy (no corrections) = -1.52 eV/atom
Uncorrected energy = -6.244 eV/atom

Structure (CIF):
```
data_La3BiO
_chemical_formula_sum 'La3 Bi1 O1'
_symmetry_space_group_name_H-M 'P 1'
_symmetry_Int_Tables_number 1
_cell_length_a 5.080
_cell_length_b 5.080
_cell_length_c 5.080
_cell_angle_alpha 90.00
_cell_angle_beta 90.00
_cell_angle_gamma 90.00
loop_
_symmetry_equiv_pos_as_xyz
'x,y,z'
loop_
_atom_site_label
_atom_site_type_symbol
_atom_site_fract_x
_atom_site_fract_y
_atom_site_fract_z
Bi1 Bi 0.500 0.500 0.500
O1 O 0.000 0.000 0.000
La1 La 0.000 0.500 0.000
La2 La 0.000 0.000 0.500
La3 La 0.500 0.000 0.000
```

=====

La3Bi3O | PBE | relaxed

Values from the calculation:
V = 854 Å³ per cell
Formation energy (no corrections) = -1.46 eV/atom
Uncorrected energy = -5.939 eV/atom

Structure (CIF):
```
data_La3Bi3O
_chemical_formula_sum 'La12 Bi12 O4'
_symmetry_space_group_name_H-M 'P 1'
_symmetry_Int_Tables_number 1
_cell_length_a 4.371
_cell_length_b 10.170
_cell_length_c 19.208
_cell_angle_alpha 90.00
_cell_angle_beta 90.00
_cell_angle_gamma 90.00
loop_
_symmetry_equiv_pos_as_xyz
'x,y,z'
loop_
_atom_site_label
_atom_site_type_symbol
_atom_site_fract_x
_atom_site_fract_y
_atom_site_fract_z
La1 La 0.750 0.001 0.887
La2 La 0.250 0.499 0.387
La3 La 0.250 0.999 0.113
La4 La 0.750 0.501 0.613
La5 La 0.750 0.854 0.268
La6 La 0.250 0.646 0.768
La7 La 0.250 0.146 0.732
La8 La 0.750 0.354 0.232
La9 La 0.750 0.677 0.085
La10 La 0.250 0.823 0.585
La11 La 0.250 0.323 0.915
La12 La 0.750 0.177 0.415
Bi1 Bi 0.750 0.881 0.725
Bi2 Bi 0.250 0.619 0.225
Bi3 Bi 0.250 0.119 0.275
Bi4 Bi 0.750 0.381 0.775
Bi5 Bi 0.750 0.191 0.028
Bi6 Bi 0.250 0.309 0.528
Bi7 Bi 0.250 0.809 0.972
Bi8 Bi 0.750 0.691 0.472
Bi9 Bi 0.750 0.089 0.601
Bi10 Bi 0.250 0.411 0.101
Bi11 Bi 0.250 0.911 0.399
Bi12 Bi 0.750 0.589 0.899
O1 O 0.750 0.886 0.144
O2 O 0.250 0.614 0.644
O3 O 0.250 0.114 0.856
O4 O 0.750 0.386 0.356
```